NaHfICl2: optimized geometry, PBE.

Calculated values
Space group: P4/mmm (123)
V in Å³/cell: 189
E_form (uncorrected) in eV/atom: -0.8568

Unit cell a=4.8599 b=4.8599 c=7.9884 alpha=90.00 beta=90.00 gamma=90.00
Closest atoms and distances in Å follow each position.
Sites, in units of the cell vectors:
Na: 0.0000 0.0000 0.0000  4 I 3.44
Hf: 0.0000 0.0000 0.5000  4 Cl 2.43
I: 0.5000 0.5000 0.0000  4 Na 3.44
Cl: 0.0000 0.5000 0.5000  2 Hf 2.43
Cl: 0.5000 0.0000 0.5000  2 Hf 2.43